[1]
VASP calculation (SCAN) on a PBEsol-optimized structure of FeAs2Pb.

abc: 5.621 5.621 5.621
angles: 138.40 138.40 60.29
Element x y z (fractional)
Fe 0.000 0.000 0.000
As 0.250 0.750 0.500
As 0.750 0.250 0.500
Pb 0.500 0.500 0.000

Values from the calculation:
Calculated total energy in eV per atom: -33.00
Space group: I4/mmm
DOS at the Fermi energy in states/eV per cell: 2.4

[2]
VASP calculation (SCAN) on a PBEsol-optimized structure of FeAs2Pb.

abc: 4.740 4.740 3.632
angles: 90.00 90.00 106.55
Element x y z (fractional)
Fe 0.000 0.000 0.000
As 0.000 0.500 0.500
As 0.500 0.000 0.500
Pb 0.500 0.500 0.000

Values from the calculation:
Calculated total energy in eV per atom: -33.05
Space group: Cmmm
DOS at the Fermi energy in states/eV per cell: 2.3

[3]
VASP calculation (SCAN) on a PBEsol-optimized structure of FeAs2Pb.

abc: 8.600 8.600 8.600
angles: 159.82 159.52 28.91
Element x y z (fractional)
Fe 0.000 0.000 0.000
As 0.567 0.567 0.000
As 0.891 0.391 0.500
Pb 0.235 0.735 0.500

Values from the calculation:
Calculated total energy in eV per atom: -33.43
Space group: Imm2
DOS at the Fermi energy in states/eV per cell: 2.2

[4]
VASP calculation (SCAN) on a PBEsol-optimized structure of FeAsPt2.

abc: 4.909 4.909 4.909
angles: 139.80 129.43 66.49
Element x y z (fractional)
Fe 0.000 0.000 0.000
As 0.777 0.277 0.500
Pt 0.284 0.784 0.500
Pt 0.554 0.554 0.000

Values from the calculation:
Calculated total energy in eV per atom: -44.82
Space group: Imm2
DOS at the Fermi energy in states/eV per cell: 2.0

[5]
VASP calculation (SCAN) on a PBEsol-optimized structure of FeAsPt4.

abc: 5.189 5.189 5.189
angles: 60.00 60.00 60.00
Element x y z (fractional)
Fe 0.000 0.000 0.000
As 0.250 0.250 0.250
Pt 0.124 0.625 0.625
Pt 0.625 0.124 0.625
Pt 0.625 0.625 0.124
Pt 0.625 0.625 0.625

Values from the calculation:
Calculated total energy in eV per atom: -52.94
Space group: F-43m
DOS at the Fermi energy in states/eV per cell: 5.9

[6]
VASP calculation (SCAN) on a PBEsol-optimized structure of FeAsPt2.

abc: 8.741 8.741 8.741
angles: 18.54 18.54 18.54
Element x y z (fractional)
Fe 0.000 0.000 0.000
As 0.500 0.500 0.500
Pt 0.253 0.253 0.253
Pt 0.747 0.747 0.747

Values from the calculation:
Calculated total energy in eV per atom: -44.78
Space group: R-3m
DOS at the Fermi energy in states/eV per cell: 2.8

[7]
VASP calculation (SCAN) on a PBEsol-optimized structure of RbFe2As2.

abc: 7.699 7.699 7.699
angles: 152.29 152.29 39.59
Element x y z (fractional)
Rb 0.000 0.000 0.000
Fe 0.250 0.750 0.500
Fe 0.750 0.250 0.500
As 0.346 0.346 0.000
As 0.654 0.654 0.000

Values from the calculation:
Calculated total energy in eV per atom: -19.76
Space group: I4/mmm
DOS at the Fermi energy in states/eV per cell: 2.4

[8]
VASP calculation (SCAN) on a PBEsol-optimized structure of Fe2ReAs.

abc: 4.124 4.124 4.124
angles: 60.00 60.00 60.00
Element x y z (fractional)
Fe 0.250 0.250 0.250
Fe 0.750 0.750 0.750
Re 0.000 0.000 0.000
As 0.500 0.500 0.500

Values from the calculation:
Calculated total energy in eV per atom: -31.55
Space group: Fm-3m
DOS at the Fermi energy in states/eV per cell: 2.6
Energy above the most stable polymorph in this dataset in eV/f.u.: 0.356

[9]
VASP calculation (SCAN) on a PBEsol-optimized structure of Fe2ReAs.

abc: 4.770 4.770 4.770
angles: 144.42 128.72 63.98
Element x y z (fractional)
Fe 0.230 0.230 0.000
Fe 0.770 0.770 0.000
Re 0.500 0.000 0.500
As 0.000 0.500 0.500

Values from the calculation:
Calculated total energy in eV per atom: -31.64
Space group: Immm
DOS at the Fermi energy in states/eV per cell: 3.8
Energy above the most stable polymorph in this dataset in eV/f.u.: 0.000

[10]
VASP calculation (SCAN) on a PBEsol-optimized structure of FeReAs2.

abc: 4.213 4.213 3.018
angles: 90.00 90.00 90.00
Element x y z (fractional)
Fe 0.000 0.000 0.000
Re 0.500 0.500 0.000
As 0.000 0.500 0.500
As 0.500 0.000 0.500

Values from the calculation:
Calculated total energy in eV per atom: -32.08
Space group: P4/mmm
DOS at the Fermi energy in states/eV per cell: 2.8

[11]
VASP calculation (SCAN) on a PBEsol-optimized structure of Fe2ReAs.

abc: 4.195 4.195 2.844
angles: 90.00 90.00 90.00
Element x y z (fractional)
Fe 0.000 0.500 0.000
Fe 0.500 0.000 0.000
Re 0.000 0.000 0.500
As 0.500 0.500 0.500

Values from the calculation:
Calculated total energy in eV per atom: -31.59
Space group: P4/mmm
DOS at the Fermi energy in states/eV per cell: 3.6
Energy above the most stable polymorph in this dataset in eV/f.u.: 0.212

[12]
VASP calculation (SCAN) on a PBEsol-optimized structure of FeRe2As.

abc: 2.839 2.839 6.594
angles: 90.00 90.00 90.00
Element x y z (fractional)
Fe 0.000 0.000 0.000
Re 0.000 0.000 0.538
Re 0.500 0.500 0.270
As 0.500 0.500 0.798

Values from the calculation:
Calculated total energy in eV per atom: -44.94
Space group: P4mm
DOS at the Fermi energy in states/eV per cell: 2.3
Energy above the most stable polymorph in this dataset in eV/f.u.: 0.000

[13]
VASP calculation (SCAN) on a PBEsol-optimized structure of FeRe2As.

abc: 2.957 2.957 6.146
angles: 90.00 90.00 90.00
Element x y z (fractional)
Fe 0.000 0.000 0.000
Re 0.500 0.500 0.244
Re 0.500 0.500 0.756
As 0.000 0.000 0.500

Values from the calculation:
Calculated total energy in eV per atom: -44.93
Space group: P4/mmm
DOS at the Fermi energy in states/eV per cell: 2.2
Energy above the most stable polymorph in this dataset in eV/f.u.: 0.049

[14]
VASP calculation (SCAN) on a PBEsol-optimized structure of Fe2ReAs.

abc: 2.729 3.524 5.059
angles: 90.00 90.00 90.00
Element x y z (fractional)
Fe 0.000 0.000 0.248
Fe 0.000 0.000 0.752
Re 0.500 0.500 0.000
As 0.500 0.500 0.500

Values from the calculation:
Calculated total energy in eV per atom: -31.52
Space group: Pmmm
DOS at the Fermi energy in states/eV per cell: 4.0
Energy above the most stable polymorph in this dataset in eV/f.u.: 0.478

[15]
VASP calculation (SCAN) on a PBEsol-optimized structure of Fe2AsRh.

abc: 2.728 3.784 4.957
angles: 90.00 90.00 90.00
Element x y z (fractional)
Fe 0.000 0.000 0.249
Fe 0.000 0.000 0.751
As 0.500 0.500 0.000
Rh 0.500 0.500 0.500

Values from the calculation:
Calculated total energy in eV per atom: -22.66
Space group: Pmmm
DOS at the Fermi energy in states/eV per cell: 2.4

[16]
VASP calculation (SCAN) on a PBEsol-optimized structure of FeAs2Rh.

abc: 4.044 4.044 5.081
angles: 102.04 102.04 42.31
Element x y z (fractional)
Fe 0.000 0.000 0.000
As 0.256 0.256 0.769
As 0.744 0.744 0.231
Rh 0.500 0.500 0.500

Values from the calculation:
Calculated total energy in eV per atom: -23.15
Space group: C2/m
DOS at the Fermi energy in states/eV per cell: 2.1

[17]
VASP calculation (SCAN) on a PBEsol-optimized structure of Fe3AsRh.

abc: 4.521 4.521 4.521
angles: 90.00 90.00 90.00
Element x y z (fractional)
Fe 0.000 0.000 0.500
Fe 0.000 0.500 0.000
Fe 0.500 0.000 0.000
As 0.500 0.500 0.500
Rh 0.000 0.000 0.000

Values from the calculation:
Calculated total energy in eV per atom: -20.63
Space group: Pm-3m
DOS at the Fermi energy in states/eV per cell: 4.2
Energy above the most stable polymorph in this dataset in eV/f.u.: 1.206

[18]
VASP calculation (SCAN) on a PBEsol-optimized structure of Fe3AsRh.

abc: 4.255 4.255 4.255
angles: 90.00 90.00 90.00
Element x y z (fractional)
Fe 0.000 0.000 0.500
Fe 0.000 0.500 0.000
Fe 0.500 0.000 0.000
As 0.000 0.000 0.000
Rh 0.500 0.500 0.500

Values from the calculation:
Calculated total energy in eV per atom: -20.87
Space group: Pm-3m
DOS at the Fermi energy in states/eV per cell: 5.7
Energy above the most stable polymorph in this dataset in eV/f.u.: 0.000

[19]
VASP calculation (SCAN) on a PBEsol-optimized structure of FeAsRh3.

abc: 4.429 4.429 4.429
angles: 90.00 90.00 90.00
Element x y z (fractional)
Fe 0.000 0.000 0.000
As 0.500 0.500 0.500
Rh 0.000 0.500 0.500
Rh 0.500 0.000 0.500
Rh 0.500 0.500 0.000

Values from the calculation:
Calculated total energy in eV per atom: -27.36
Space group: Pm-3m
DOS at the Fermi energy in states/eV per cell: 6.5

[20]
VASP calculation (SCAN) on a PBEsol-optimized structure of FeAsRh.

abc: 4.962 4.962 4.962
angles: 145.34 145.34 49.83
Element x y z (fractional)
Fe 0.000 0.000 0.000
As 0.356 0.356 0.000
Rh 0.684 0.684 0.000

Values from the calculation:
Calculated total energy in eV per atom: -24.11
Space group: I4mm
DOS at the Fermi energy in states/eV per cell: 2.3